The following is a DFT calculation (GGA-PBEsol) of a relaxed structure of Mg2Sc.

```
Mg2Sc
1.0
0.000 4.092 4.092
4.092 0.000 4.092
4.092 4.092 0.000
Mg Sc
4 2
direct
0.000 0.000 0.000
0.000 0.000 0.500
0.000 0.500 0.000
0.500 0.000 0.000
0.375 0.375 0.375
0.625 0.625 0.625
```

## Properties
Crystal system: cubic
DFT formation energy, eV per atom: 0.0306
Uncorrected energy, eV per atom: -3.32
Symmetry: Fd-3m

The following is a DFT calculation (GGA-PBEsol) of a relaxed structure of LiAgAs.

```
LiAgAs
1.0
0.000 3.008 3.008
3.008 0.000 3.008
3.008 3.008 0.000
Li Ag As
1 1 1
direct
0.000 0.000 0.000
0.500 0.500 0.500
0.750 0.750 0.750
```

## Properties
Crystal system: cubic
DFT formation energy, eV per atom: -0.2348
Uncorrected energy, eV per atom: -3.70
Symmetry: F-43m

The following is a DFT calculation (GGA-PBEsol) of a relaxed structure of ScCdSb2.

```
ScCdSb2
1.0
4.836 0.000 0.000
0.000 4.836 0.000
0.000 0.000 3.915
Sc Cd Sb
1 1 2
direct
0.000 0.000 0.000
0.500 0.500 0.000
0.000 0.500 0.500
0.500 0.000 0.500
```

## Properties
ΔE_f (raw), eV/atom: -0.37
Crystal system: tetragonal
Uncorrected energy, eV per atom: -4.60
Symmetry: P4/mmm

The following is a DFT calculation (GGA-PBEsol) of a relaxed structure of TaOs5.

```
TaOs5
1.0
4.995 -1.377 0.000
4.995 1.377 0.000
-1.562 0.000 6.312
Ta Os
1 5
direct
0.000 0.000 0.000
0.274 0.274 0.051
0.331 0.331 0.659
0.615 0.615 0.712
0.671 0.671 0.333
0.945 0.945 0.390
```

## Properties
Crystal system: monoclinic
DFT formation energy, eV per atom: -0.0730
Uncorrected energy, eV per atom: -12.34
Symmetry: Cm